# NiP5, optimized geometry, DFT PBEsol
data_NiP5
_space_group_name_H-M_alt 'C m m m'
_space_group_IT_number 65
_space_group_name_Hall '-C 2 2'
_cell_length_a 3.387
_cell_length_b 10.224
_cell_length_c 4.693
_cell_angle_alpha 90.00
_cell_angle_beta 90.00
_cell_angle_gamma 90.00
loop_
_atom_site_label
_atom_site_fract_x
_atom_site_fract_y
_atom_site_fract_z
_atom_site_occupancy
Ni1 0.000 0.000 0.000 1
P1 0.000 0.000 0.500 1
P2 0.000 0.328 0.500 1
P3 0.000 0.348 0.000 1
# V = 162.5 Å³ per cell
# Raw total energy = -71.12 eV/cell
# Total magnetization = 0.00 μB/atom
# ΔE_f = -0.074 eV per atom